A plane-wave DFT calculation with PBE was carried out for a geometry-optimized Ac3Al2GaPt9 structure.

Cell and atoms, written as POSCAR:
```
Ac3Al2GaPt9
1.0
7.394 0.000 0.000
-3.697 6.404 0.000
0.000 0.000 6.906
Ac Al Ga Pt
3 2 1 9
direct
0.000 0.000 0.000 Ac
0.333 0.667 0.665 Ac
0.667 0.333 0.335 Ac
0.333 0.667 0.165 Al
0.667 0.333 0.835 Al
0.000 0.000 0.500 Ga
0.000 0.500 0.000 Pt
0.167 0.335 0.330 Pt
0.167 0.833 0.330 Pt
0.335 0.167 0.670 Pt
0.500 0.000 0.000 Pt
0.500 0.500 0.000 Pt
0.665 0.833 0.330 Pt
0.833 0.167 0.670 Pt
0.833 0.665 0.670 Pt
```

Values from the calculation:
Its space-group type is P-3m1.

=====

A plane-wave DFT calculation with PBE was carried out for a geometry-optimized Ac3Al2Ga2Pt4 structure.

Cell and atoms, written as POSCAR:
```
Ac3Al2Ga2Pt4
1.0
4.429 0.000 0.000
-2.214 3.836 0.000
0.000 0.000 15.578
Ac Al Ga Pt
3 2 2 4
direct
0.000 0.000 0.000 Ac
0.000 0.000 0.279 Ac
0.000 0.000 0.721 Ac
0.333 0.667 0.560 Al
0.667 0.333 0.440 Al
0.333 0.667 0.139 Ga
0.667 0.333 0.861 Ga
0.333 0.667 0.401 Pt
0.333 0.667 0.859 Pt
0.667 0.333 0.141 Pt
0.667 0.333 0.599 Pt
```

Values from the calculation:
Its space-group type is P-3m1.

=====

A plane-wave DFT calculation with PBE was carried out for a geometry-optimized Ac3AlGa2Pt6 structure.

Cell and atoms, written as POSCAR:
```
Ac3AlGa2Pt6
1.0
5.954 0.000 0.000
-2.977 5.156 0.000
0.000 0.000 8.941
Ac Al Ga Pt
3 1 2 6
direct
0.000 0.000 0.000 Ac
0.333 0.667 0.628 Ac
0.667 0.333 0.372 Ac
0.000 0.000 0.500 Al
0.333 0.667 0.057 Ga
0.667 0.333 0.943 Ga
0.172 0.344 0.292 Pt
0.172 0.828 0.292 Pt
0.344 0.172 0.708 Pt
0.656 0.828 0.292 Pt
0.828 0.172 0.708 Pt
0.828 0.656 0.708 Pt
```

Values from the calculation:
Its space-group type is P-3m1.

=====

Taking the records one at a time from the top gives energy relative to the elements values of -10.993 -10.590 -10.895 eV/f.u..